Record 1
Below is a geometry-optimized YTe2AsN structure, with properties calculated at the PBE level.

Summary:
**Crystal system**: tetragonal
**Formation energy (no corrections)**: 0.51 eV per atom
**Symmetry**: No. 123
**E**: -23.20 eV for the cell shown

Structure (CIF):
```
data_YTe2AsN
_chemical_formula_sum 'Y1 Te2 As1 N1'
_cell_length_a 5.961
_cell_length_b 5.961
_cell_length_c 4.069
_cell_angle_alpha 90.00
_cell_angle_beta 90.00
_cell_angle_gamma 90.00
_space_group_name_H-M_alt 'P 1'
_space_group_IT_number 1
loop_
_space_group_symop_operation_xyz
'x,y,z'
loop_
_atom_site_label
_atom_site_fract_x
_atom_site_fract_y
_atom_site_fract_z
Y1 0.000 0.000 0.000
As1 0.500 0.500 0.500
Te1 0.000 0.500 0.000
Te2 0.500 0.000 0.000
N1 0.000 0.000 0.500
```

Record 2
Below is a geometry-optimized Gd2AuF structure, with properties calculated at the PBE level.

Summary:
**Crystal system**: trigonal
**Formation energy (no corrections)**: -1.50 eV per atom
**Symmetry**: No. 166
**E**: -39.33 eV for the cell shown

Structure (CIF):
```
data_Gd2AuF
_chemical_formula_sum 'Gd2 Au1 F1'
_cell_length_a 4.123
_cell_length_b 4.123
_cell_length_c 6.602
_cell_angle_alpha 71.80
_cell_angle_beta 71.80
_cell_angle_gamma 60.00
_space_group_name_H-M_alt 'P 1'
_space_group_IT_number 1
loop_
_space_group_symop_operation_xyz
'x,y,z'
loop_
_atom_site_label
_atom_site_fract_x
_atom_site_fract_y
_atom_site_fract_z
Gd1 0.742 0.742 0.775
Gd2 0.258 0.258 0.225
Au1 0.500 0.500 0.500
F1 0.000 0.000 0.000
```

Record 3
Below is a geometry-optimized SrY2Cr structure, with properties calculated at the PBE level.

Summary:
**Crystal system**: cubic
**Symmetry**: No. 216
**DFT formation energy**: 0.529 eV/atom
**E**: -22.12 eV for the cell shown

Structure (CIF):
```
data_SrY2Cr
_chemical_formula_sum 'Sr1 Y2 Cr1'
_cell_length_a 5.584
_cell_length_b 5.584
_cell_length_c 5.584
_cell_angle_alpha 60.00
_cell_angle_beta 60.00
_cell_angle_gamma 60.00
_space_group_name_H-M_alt 'P 1'
_space_group_IT_number 1
loop_
_space_group_symop_operation_xyz
'x,y,z'
loop_
_atom_site_label
_atom_site_fract_x
_atom_site_fract_y
_atom_site_fract_z
Cr1 0.500 0.500 0.500
Sr1 0.750 0.750 0.750
Y1 0.000 0.000 0.000
Y2 0.250 0.250 0.250
```

Record 4
Below is a geometry-optimized K2UBiSe4 structure, with properties calculated at the PBE level.

Summary:
**Crystal system**: monoclinic
**Formation energy (no corrections)**: -1.00 eV per atom
**Symmetry**: No. 10
**E**: -39.34 eV for the cell shown

Structure (CIF):
```
data_K2UBiSe4
_chemical_formula_sum 'K2 U1 Bi1 Se4'
_cell_length_a 4.372
_cell_length_b 7.503
_cell_length_c 8.044
_cell_angle_alpha 108.25
_cell_angle_beta 90.00
_cell_angle_gamma 90.00
_space_group_name_H-M_alt 'P 1'
_space_group_IT_number 1
loop_
_space_group_symop_operation_xyz
'x,y,z'
loop_
_atom_site_label
_atom_site_fract_x
_atom_site_fract_y
_atom_site_fract_z
K1 0.500 0.000 0.500
K2 0.000 0.500 0.500
U1 0.500 0.500 0.000
Bi1 0.000 0.000 0.000
Se1 0.500 0.242 0.209
Se2 0.500 0.758 0.791
Se3 0.000 0.271 0.792
Se4 0.000 0.729 0.208
```

no.,D(E_F) (states/eV per cell)
1,5.770
2,4.141
3,3.904
4,4.957